7
Lattice="1.8540 -8.7053 0.0000 1.8540 8.7053 0.0000 0.0000 0.0000 3.8023" Properties=species:S:1:pos:R:3 comment="Li4CeIr2 PBE optimized geometry" magnetic_moment_mub_per_fu=0.000 dos_at_fermi_per_ev_cell=2.52 space_group=Cmmm formation_energy_ev_per_atom=-0.22 pbc="T T T"
Li 1.8540 5.6631 0.0000
Li 1.8540 3.1925 1.9012
Li 1.8540 -3.1925 1.9012
Li 1.8540 -5.6631 0.0000
Ce 1.8540 0.0000 0.0000
Ir 1.8540 7.3530 1.9012
Ir 1.8540 -7.3530 1.9012